1.
# Li3GaPt (PBE, optimized geometry)
data_Li3GaPt
_chemical_formula_sum 'Li3 Ga1 Pt1'
_symmetry_space_group_name_H-M 'P m -3 m'
_symmetry_Int_Tables_number 221
_symmetry_space_group_name_Hall '-P 4 2 3'
_cell_length_a 4.472
_cell_length_b 4.472
_cell_length_c 4.472
_cell_angle_alpha 90.00
_cell_angle_beta 90.00
_cell_angle_gamma 90.00
loop_
_atom_site_label
_atom_site_fract_x
_atom_site_fract_y
_atom_site_fract_z
Li1 0.000 0.000 0.500
Ga1 0.000 0.000 0.000
Pt1 0.500 0.500 0.500
# raw total energy	-12.9	eV/cell
# offset from the most stable computed form	800	meV per atom
# energy of formation	0.376	eV per atom
# volume	17.9	Å³/atom

2.
# PrDyTmRu (PBE, optimized geometry)
data_PrDyTmRu
_chemical_formula_sum 'Pr1 Dy1 Tm1 Ru1'
_symmetry_space_group_name_H-M 'P 4 m m'
_symmetry_Int_Tables_number 99
_symmetry_space_group_name_Hall 'P 4 -2'
_cell_length_a 3.437
_cell_length_b 3.437
_cell_length_c 9.042
_cell_angle_alpha 90.00
_cell_angle_beta 90.00
_cell_angle_gamma 90.00
loop_
_atom_site_label
_atom_site_fract_x
_atom_site_fract_y
_atom_site_fract_z
Pr1 0.000 0.000 0.000
Dy1 0.500 0.500 0.676
Tm1 0.500 0.500 0.318
Ru1 0.000 0.000 0.494
# raw total energy	-24.2	eV/cell
# energy of formation	-0.258	eV per atom
# volume	26.7	Å³/atom

3.
# La2TlCd6 (PBE, optimized geometry)
data_La2TlCd6
_chemical_formula_sum 'La2 Tl1 Cd6'
_symmetry_space_group_name_H-M 'P 6/m m m'
_symmetry_Int_Tables_number 191
_symmetry_space_group_name_Hall '-P 6 2'
_cell_length_a 8.9631
_cell_length_b 8.9631
_cell_length_c 3.4629
_cell_angle_alpha 90.00
_cell_angle_beta 90.00
_cell_angle_gamma 120.00
loop_
_atom_site_label
_atom_site_fract_x
_atom_site_fract_y
_atom_site_fract_z
La1 0.3333 0.6667 0.0000
Tl1 0.0000 0.0000 0.0000
Cd1 0.0000 0.3300 0.5000
# raw total energy	-19.8	eV/cell
# energy of formation	-0.235	eV per atom
# volume	26.8	Å³/atom

4.
# Ac4MgIr2 (PBE, optimized geometry)
data_Ac4MgIr2
_chemical_formula_sum 'Ac12 Mg3 Ir6'
_symmetry_space_group_name_H-M 'R -3 m'
_symmetry_Int_Tables_number 166
_symmetry_space_group_name_Hall '-R 3 2"'
_cell_length_a 5.1731
_cell_length_b 5.1731
_cell_length_c 29.6887
_cell_angle_alpha 90.00
_cell_angle_beta 90.00
_cell_angle_gamma 120.00
loop_
_atom_site_label
_atom_site_fract_x
_atom_site_fract_y
_atom_site_fract_z
Ac1 0.0000 0.0000 0.1113
Ac2 0.0000 0.0000 0.2953
Mg1 0.0000 0.0000 0.5000
Ir1 0.0000 0.0000 0.4057
# raw total energy	-114.9	eV/cell
# energy of formation	-0.366	eV per atom
# volume	32.8	Å³/atom

5.
# Sm12Tm7Th (PBE, optimized geometry)
data_Sm12Tm7Th
_chemical_formula_sum 'Sm36 Tm21 Th3'
_symmetry_space_group_name_H-M 'R -3'
_symmetry_Int_Tables_number 148
_symmetry_space_group_name_Hall '-R 3'
_cell_length_a 19.5976
_cell_length_b 19.5976
_cell_length_c 6.1638
_cell_angle_alpha 90.00
_cell_angle_beta 90.00
_cell_angle_gamma 120.00
loop_
_atom_site_label
_atom_site_fract_x
_atom_site_fract_y
_atom_site_fract_z
Sm1 0.0016 0.5879 0.0047
Sm2 0.0975 0.5457 0.4393
Tm1 0.0000 0.0000 0.0000
Tm2 0.0792 0.1644 0.2673
Th1 0.0000 0.0000 0.5000
# raw total energy	-268.1	eV/cell
# offset from the most stable computed form	65	meV per atom
# energy of formation	0.299	eV per atom
# volume	34.2	Å³/atom

6.
# Nd12InSn4N3 (PBE, optimized geometry)
data_Nd12InSn4N3
_chemical_formula_sum 'Nd24 In2 Sn8 N6'
_symmetry_space_group_name_H-M 'I m -3 m'
_symmetry_Int_Tables_number 229
_symmetry_space_group_name_Hall '-I 4 2 3'
_cell_length_a 10.392
_cell_length_b 10.392
_cell_length_c 10.392
_cell_angle_alpha 90.00
_cell_angle_beta 90.00
_cell_angle_gamma 90.00
loop_
_atom_site_label
_atom_site_fract_x
_atom_site_fract_y
_atom_site_fract_z
Nd1 0.000 0.000 0.275
Nd2 0.000 0.250 0.500
In1 0.000 0.000 0.000
Sn1 0.250 0.250 0.250
N1 0.000 0.000 0.500
# raw total energy	-228.1	eV/cell
# volume	28.1	Å³/atom

7.
# CaAl2GaTc (PBE, optimized geometry)
data_CaAl2GaTc
_chemical_formula_sum 'Ca1 Al2 Ga1 Tc1'
_symmetry_space_group_name_H-M 'P 4/m m m'
_symmetry_Int_Tables_number 123
_symmetry_space_group_name_Hall '-P 4 2'
_cell_length_a 4.776
_cell_length_b 4.776
_cell_length_c 4.846
_cell_angle_alpha 90.00
_cell_angle_beta 90.00
_cell_angle_gamma 90.00
loop_
_atom_site_label
_atom_site_fract_x
_atom_site_fract_y
_atom_site_fract_z
Ca1 0.000 0.000 0.000
Al1 0.000 0.500 0.500
Ga1 0.500 0.500 0.000
Tc1 0.500 0.500 0.500
# raw total energy	-24.1	eV/cell
# energy of formation	-0.245	eV per atom
# volume	22.1	Å³/atom

8.
# ErPaTcNi (PBE, optimized geometry)
data_ErPaTcNi
_chemical_formula_sum 'Er4 Pa4 Tc4 Ni4'
_symmetry_space_group_name_H-M 'F -4 3 m'
_symmetry_Int_Tables_number 216
_symmetry_space_group_name_Hall 'F -4 2 3'
_cell_length_a 6.784
_cell_length_b 6.784
_cell_length_c 6.784
_cell_angle_alpha 90.00
_cell_angle_beta 90.00
_cell_angle_gamma 90.00
loop_
_atom_site_label
_atom_site_fract_x
_atom_site_fract_y
_atom_site_fract_z
Er1 0.000 0.000 0.000
Pa1 0.000 0.000 0.500
Tc1 0.250 0.250 0.250
Ni1 0.250 0.250 0.750
# raw total energy	-124.2	eV/cell
# energy of formation	-0.211	eV per atom
# volume	19.5	Å³/atom